Here is a relaxed Ba6Co2N6O crystal from the Open Quantum Materials Database. Energies are from PBE+U.

CIF file:
```
data_Ba6Co2N6O
_chemical_formula_sum 'Ba18 Co6 N18 O3'
_cell_length_a 7.9504
_cell_length_b 7.9504
_cell_length_c 17.2037
_cell_angle_alpha 90.00
_cell_angle_beta 90.00
_cell_angle_gamma 120.00
_symmetry_space_group_name_H-M 'R -3'
_symmetry_Int_Tables_number 148
_symmetry_space_group_name_Hall '-R 3'
loop_
_atom_site_label
_atom_site_type_symbol
_atom_site_fract_x
_atom_site_fract_y
_atom_site_fract_z
Ba1 Ba 0.0169 0.4152 0.2492
Co1 Co 0.0000 0.0000 0.2517
N1 N 0.0071 0.2216 0.7470
O1 O 0.0000 0.0000 0.5000
```

- Volume: 942 Å³/cell
- DFT total energy: -5.675 eV per atom